Entry 1:
VASP calculation (PBE) on a relaxed Y12HgPd6 crystal.

The calculation puts the calculated volume at 26.03 A^3/atom. The calculated formation energy is -606 meV/atom. The calculation puts the total energy at -241.1 eV per cell. As for the magnetization: 0.0 Bohr magnetons per cell. As for the density of states at the Fermi level: 46.10 states/eV/cell.

It has space group Im-3 (No. 204), with a = 9.963 Å, b = 9.963 Å, c = 9.963 Å, α = 90.00°, β = 90.00° and γ = 90.00°. The inequivalent atoms are Y at (0.000, 0.295, 0.182), Hg at (0.000, 0.000, 0.000) and Pd at (0.000, 0.137, 0.500).

***

Entry 2:
VASP calculation (PBE) on a relaxed Y4HgPd crystal.

The calculation puts the calculated volume at 29.60 A^3/atom. The calculated formation energy is -295 meV/atom. The calculation puts the total energy at -33.1 eV per cell. As for the magnetization: 0.0 Bohr magnetons per cell. As for the density of states at the Fermi level: 7.43 states/eV/cell.

It has space group P4/mmm (No. 123), with a = 4.972 Å, b = 4.972 Å, c = 7.182 Å, α = 90.00°, β = 90.00° and γ = 90.00°. The inequivalent atoms are Y at (0.000, 0.500, 0.238), Hg at (0.000, 0.000, 0.500) and Pd at (0.500, 0.500, 0.000).

***

Entry 3:
VASP calculation (PBE) on a relaxed YHgPd2 crystal.

The calculation puts the calculated volume at 21.62 A^3/atom. The calculated formation energy is -349 meV/atom. The calculation puts the total energy at -74.2 eV per cell. As for the magnetization: 0.0 Bohr magnetons per cell. As for the density of states at the Fermi level: 7.42 states/eV/cell.

It has space group I-42d (No. 122), with a = 7.573 Å, b = 7.573 Å, c = 6.032 Å, α = 90.00°, β = 90.00° and γ = 90.00°. The inequivalent atoms are Y at (0.000, 0.000, 0.000), Hg at (0.000, 0.000, 0.500) and Pd at (0.247, 0.250, 0.625).

***

Entry 4:
VASP calculation (PBE) on a relaxed Y3Hg2Pd crystal.

The calculation puts the calculated volume at 24.46 A^3/atom. The calculated formation energy is -626 meV/atom. The calculation puts the total energy at -28.9 eV per cell. As for the magnetization: 0.0 Bohr magnetons per cell. As for the density of states at the Fermi level: 4.36 states/eV/cell.

It has space group P4/mmm (No. 123), with a = 3.661 Å, b = 3.661 Å, c = 10.950 Å, α = 90.00°, β = 90.00° and γ = 90.00°. The inequivalent atoms are Y at (0.000, 0.000, 0.000), Y at (0.000, 0.000, 0.347), Hg at (0.500, 0.500, 0.171) and Pd at (0.500, 0.500, 0.500).